# 1
{"formula": "CdCoTeO", "functional": "PBE+U", "state": "optimized geometry", "e_above_lowest_polymorph_ev_per_atom": 0.103, "energy_ev_per_atom": -3.932, "space_group": "P2_12_12_1", "lattice": [[6.251, 0.000, 0.000], [0.000, 7.423, 0.000], [0.000, 0.000, 7.869]], "species": ["Cd", "Cd", "Cd", "Cd", "Co", "Co", "Co", "Co", "O", "O", "O", "O", "Te", "Te", "Te", "Te"], "frac_coords": [[0.258, 0.594, 0.177], [0.758, 0.406, 0.323], [0.742, 0.906, 0.677], [0.242, 0.094, 0.823], [0.752, 0.816, 0.136], [0.252, 0.184, 0.364], [0.248, 0.684, 0.636], [0.748, 0.316, 0.864], [0.928, 0.639, 0.219], [0.428, 0.361, 0.281], [0.072, 0.861, 0.719], [0.572, 0.139, 0.781], [0.965, 0.124, 0.108], [0.465, 0.876, 0.392], [0.035, 0.376, 0.608], [0.535, 0.624, 0.892]]}



# 2
{"formula": "CdCoTeO", "functional": "PBE+U", "state": "optimized geometry", "e_above_lowest_polymorph_ev_per_atom": 0.497, "energy_ev_per_atom": -3.538, "space_group": "P4/nmm", "lattice": [[-0.681, 1.885, -3.559], [-3.848, 0.760, 1.139], [2.459, 7.333, 3.413]], "species": ["Cd", "Cd", "Co", "Co", "O", "O", "Te", "Te"], "frac_coords": [[0.750, 0.250, 0.000], [0.250, 0.750, 0.000], [0.750, 0.750, 0.235], [0.250, 0.250, 0.765], [0.750, 0.750, 0.464], [0.250, 0.250, 0.536], [0.250, 0.250, 0.313], [0.750, 0.750, 0.687]]}